Entry from the Alexandria database: a relaxed LiErZnCl6 crystal (PBE).

Properties
Space group: P-31c (163)
Final energy in eV per atom: -3.8314
D(E_F) in states/eV/cell: 0.000
Formation energy from raw total energies in eV per atom: -1.739

Cell and atoms, written as POSCAR:
```
LiErZnCl6
1.0
6.477 0.000 0.000
-3.238 5.609 0.000
0.000 0.000 11.881
Cl Li Zn Er
12 2 2 2
Cartesian
-2.047 3.718 10.348 Cl
-1.005 5.523 7.473 Cl
-1.042 1.977 7.473 Cl
4.243 0.086 4.408 Cl
1.005 5.523 10.348 Cl
1.191 1.891 4.408 Cl
2.233 0.086 1.533 Cl
2.196 3.632 1.533 Cl
2.047 3.718 7.473 Cl
1.042 1.977 10.348 Cl
5.286 1.891 1.533 Cl
4.281 3.632 4.408 Cl
0.000 0.000 5.940 Li
0.000 0.000 0.000 Li
0.000 3.739 8.911 Zn
3.238 1.870 2.970 Zn
3.238 1.870 8.911 Er
0.000 3.739 2.970 Er
```